Dy3Mg3CdIr2: optimized geometry, PBE-GGA.

Cell and atoms, written as POSCAR:
```
Dy3Mg3CdIr2
1.0
-1.620 5.971 4.099
-1.896 -6.766 2.389
3.621 -0.336 1.921
Cd Dy Ir Mg
1 3 2 3
direct
0.000 0.000 0.000
0.574 0.000 0.000
0.426 0.426 0.000
0.000 0.574 0.000
0.667 0.333 0.500
0.333 0.667 0.500
0.258 0.000 0.500
0.000 0.258 0.500
0.742 0.742 0.500
```

Computed properties:
Space-group type = P-62m
DFT total energy = -41.56 eV/cell